No. 1
Computed, not measured: a relaxed WSI2N crystal at the GGA-PBE level of DFT.

Geometry as CIF:
```
data_WSI2N
_cell_length_a 5.780
_cell_length_b 5.780
_cell_length_c 3.372
_cell_angle_alpha 90.00
_cell_angle_beta 90.00
_cell_angle_gamma 90.00
_symmetry_space_group_name_H-M 'P 4/m m m'
_symmetry_Int_Tables_number 123
_symmetry_space_group_name_Hall '-P 4 2'
loop_
_atom_site_label
_atom_site_type_symbol
_atom_site_fract_x
_atom_site_fract_y
_atom_site_fract_z
W1 W 0.000 0.000 0.000
S1 S 0.500 0.500 0.500
I1 I 0.000 0.500 0.500
N1 N 0.500 0.500 0.000
```

Results
total DFT energy (no corrections) = -4.0296 eV/atom
magnetic moment = 3.46 μB per formula unit
Fermi-level density of states = 0.625 states/eV per atom

No. 2
Computed, not measured: a relaxed WSI2N crystal at the GGA-PBE level of DFT.

Geometry as CIF:
```
data_WSI2N
_cell_length_a 5.480
_cell_length_b 5.480
_cell_length_c 3.842
_cell_angle_alpha 90.00
_cell_angle_beta 90.00
_cell_angle_gamma 90.00
_symmetry_space_group_name_H-M 'P 4/m m m'
_symmetry_Int_Tables_number 123
_symmetry_space_group_name_Hall '-P 4 2'
loop_
_atom_site_label
_atom_site_type_symbol
_atom_site_fract_x
_atom_site_fract_y
_atom_site_fract_z
W1 W 0.000 0.000 0.000
S1 S 0.500 0.500 0.500
I1 I 0.000 0.500 0.000
N1 N 0.000 0.000 0.500
```

Results
total DFT energy (no corrections) = -5.0145 eV/atom
magnetic moment = 0.23 μB per formula unit
Fermi-level density of states = 0.777 states/eV per atom

No. 3
Computed, not measured: a relaxed WS2IN crystal at the GGA-PBE level of DFT.

Geometry as CIF:
```
data_WS2IN
_cell_length_a 5.163
_cell_length_b 5.163
_cell_length_c 3.856
_cell_angle_alpha 90.00
_cell_angle_beta 90.00
_cell_angle_gamma 90.00
_symmetry_space_group_name_H-M 'P 4/m m m'
_symmetry_Int_Tables_number 123
_symmetry_space_group_name_Hall '-P 4 2'
loop_
_atom_site_label
_atom_site_type_symbol
_atom_site_fract_x
_atom_site_fract_y
_atom_site_fract_z
W1 W 0.000 0.000 0.000
S1 S 0.000 0.500 0.500
I1 I 0.500 0.500 0.500
N1 N 0.500 0.500 0.000
```

Results
total DFT energy (no corrections) = -4.1315 eV/atom
magnetic moment = 3.88 μB per formula unit
Fermi-level density of states = 0.494 states/eV per atom